#i
AgMoPS2 | PBE-GGA | relaxed

The structure in POSCAR format:
```
AgMoPS2
1.0
4.780 0.000 0.000
0.000 4.780 0.000
0.000 0.000 4.731
Ag Mo P S
1 1 1 2
direct
0.000 0.000 0.000 Ag
0.500 0.500 0.500 Mo
0.000 0.000 0.500 P
0.000 0.500 0.000 S
0.500 0.000 0.000 S
```

Output
The density of states at the Fermi level comes out at 3.4 states/eV/f.u. The calculated density comes out at 4592 kg/m3.

***

#ii
AgMoPS2 | PBE-GGA | relaxed

The structure in POSCAR format:
```
AgMoPS2
1.0
4.657 0.000 0.000
0.000 4.657 0.000
0.000 0.000 4.835
Ag Mo P S
1 1 1 2
direct
0.000 0.000 0.000 Ag
0.500 0.500 0.500 Mo
0.500 0.500 0.000 P
0.000 0.500 0.500 S
0.500 0.000 0.500 S
```

Output
The density of states at the Fermi level comes out at 4.3 states/eV/f.u. The calculated density comes out at 4734 kg/m3.

***

The structure with the greatest stability is #ii.

***

#i
Pa2AgMo | PBE-GGA | relaxed

The structure in POSCAR format:
```
Pa2AgMo
1.0
1.552 0.896 10.767
-1.552 0.896 10.767
0.000 -1.793 10.767
Pa Ag Mo
2 1 1
direct
0.095 0.095 0.095 Pa
0.905 0.905 0.905 Pa
0.000 0.000 0.000 Ag
0.500 0.500 0.500 Mo
```

Output
The density of states at the Fermi level comes out at 4.5 states/eV/f.u. The calculated density comes out at 12301 kg/m3.

***

#ii
Pa2AgMo | PBE-GGA | relaxed

The structure in POSCAR format:
```
Pa2AgMo
1.0
3.310 0.000 0.000
0.000 3.310 0.000
0.000 0.000 8.210
Pa Ag Mo
2 1 1
direct
0.000 0.000 0.218 Pa
0.000 0.000 0.782 Pa
0.500 0.500 0.500 Ag
0.500 0.500 0.000 Mo
```

Output
The density of states at the Fermi level comes out at 6.1 states/eV/f.u. The calculated density comes out at 12290 kg/m3.

***

The structure with the greatest stability is #ii.

***

#i
AgMoPb3 | PBE-GGA | relaxed

The structure in POSCAR format:
```
AgMoPb3
1.0
5.448 0.000 0.000
0.000 5.448 0.000
0.000 0.000 5.448
Ag Mo Pb
1 1 3
direct
0.000 0.000 0.000 Ag
0.500 0.500 0.500 Mo
0.000 0.000 0.500 Pb
0.000 0.500 0.000 Pb
0.500 0.000 0.000 Pb
```

Output
The density of states at the Fermi level comes out at 4.5 states/eV/f.u. The calculated density comes out at 8476 kg/m3.

***

#ii
AgMoPb3 | PBE-GGA | relaxed

The structure in POSCAR format:
```
AgMoPb3
1.0
5.400 0.000 0.000
0.000 5.400 0.000
0.000 0.000 5.400
Ag Mo Pb
1 1 3
direct
0.000 0.000 0.000 Ag
0.500 0.500 0.500 Mo
0.000 0.500 0.500 Pb
0.500 0.000 0.500 Pb
0.500 0.500 0.000 Pb
```

Output
The density of states at the Fermi level comes out at 2.3 states/eV/f.u. The calculated density comes out at 8705 kg/m3.

***

The structure with the greatest stability is #ii.

***

#i
Ag2MoPd | PBE-GGA | relaxed

The structure in POSCAR format:
```
Ag2MoPd
1.0
-3.696 3.696 2.673
3.696 -3.696 2.673
3.696 3.696 -2.673
Ag Mo Pd
4 2 2
direct
0.123 0.125 0.498 Ag
0.375 0.877 0.002 Ag
0.627 0.625 0.502 Ag
0.875 0.373 0.998 Ag
0.250 0.750 0.500 Mo
0.500 0.500 0.000 Mo
0.000 0.000 0.000 Pd
0.750 0.250 0.500 Pd
```

Output
The density of states at the Fermi level comes out at 5.1 states/eV/f.u. The calculated density comes out at 9508 kg/m3.

***

#ii
Ag2MoPd | PBE-GGA | relaxed

The structure in POSCAR format:
```
Ag2MoPd
1.0
0.000 3.210 3.210
3.210 0.000 3.210
3.210 3.210 0.000
Ag Mo Pd
2 1 1
direct
0.250 0.250 0.250 Ag
0.750 0.750 0.750 Ag
0.000 0.000 0.000 Mo
0.500 0.500 0.500 Pd
```

Output
The density of states at the Fermi level comes out at 2.5 states/eV/f.u. The calculated density comes out at 10499 kg/m3.

***

The structure with the greatest stability is #ii.

***

#i
AgMoPt2 | PBE-GGA | relaxed

The structure in POSCAR format:
```
AgMoPt2
1.0
4.858 0.000 0.000
0.000 4.858 0.000
0.000 0.000 2.776
Ag Mo Pt
1 1 2
direct
0.000 0.000 0.000 Ag
0.500 0.500 0.000 Mo
0.000 0.500 0.500 Pt
0.500 0.000 0.500 Pt
```

Output
The density of states at the Fermi level comes out at 5.2 states/eV/f.u. The calculated density comes out at 15055 kg/m3.

***

#ii
AgMoPt2 | PBE-GGA | relaxed

The structure in POSCAR format:
```
AgMoPt2
1.0
2.827 0.000 0.000
0.000 2.827 0.000
0.000 0.000 8.048
Ag Mo Pt
1 1 2
direct
0.000 0.000 0.000 Ag
0.000 0.000 0.500 Mo
0.500 0.500 0.268 Pt
0.500 0.500 0.732 Pt
```

Output
The density of states at the Fermi level comes out at 3.5 states/eV/f.u. The calculated density comes out at 15340 kg/m3.

***

The structure with the greatest stability is #ii.

***

#i
AgMoPt2 | PBE-GGA | relaxed

The structure in POSCAR format:
```
AgMoPt2
1.0
2.780 0.000 0.000
0.000 4.141 0.000
0.000 0.000 5.569
Ag Mo Pt
1 1 2
direct
0.000 0.000 0.000 Ag
0.500 0.500 0.279 Mo
0.000 0.000 0.490 Pt
0.500 0.500 0.761 Pt
```

Output
The density of states at the Fermi level comes out at 4.0 states/eV/f.u. The calculated density comes out at 15384 kg/m3.

***

#ii
AgMoPt2 | PBE-GGA | relaxed

The structure in POSCAR format:
```
AgMoPt2
1.0
1.406 0.812 9.365
-1.406 0.812 9.365
0.000 -1.624 9.365
Ag Mo Pt
1 1 2
direct
0.000 0.000 0.000 Ag
0.500 0.500 0.500 Mo
0.246 0.246 0.246 Pt
0.754 0.754 0.754 Pt
```

Output
The density of states at the Fermi level comes out at 3.6 states/eV/f.u. The calculated density comes out at 15374 kg/m3.

***

The structure with the greatest stability is #ii.

***

#i
AgMoPt2 | PBE-GGA | relaxed

The structure in POSCAR format:
```
AgMoPt2
1.0
4.624 -1.392 0.000
4.624 1.392 0.000
-0.808 0.000 4.962
Ag Mo Pt
1 1 2
direct
0.000 0.000 0.000 Ag
0.500 0.500 0.500 Mo
0.246 0.246 0.739 Pt
0.754 0.754 0.261 Pt
```

Output
The density of states at the Fermi level comes out at 3.7 states/eV/f.u. The calculated density comes out at 15440 kg/m3.

***

#ii
AgMoPt2 | PBE-GGA | relaxed

The structure in POSCAR format:
```
AgMoPt2
1.0
2.863 -4.017 0.000
2.863 4.017 0.000
0.000 0.000 2.775
Ag Mo Pt
1 1 2
direct
0.000 0.000 0.000 Ag
0.500 0.500 0.000 Mo
0.000 0.500 0.500 Pt
0.500 0.000 0.500 Pt
```

Output
The density of states at the Fermi level comes out at 3.6 states/eV/f.u. The calculated density comes out at 15455 kg/m3.

***

The structure with the greatest stability is #ii.

***

#i
AgMo2Pt | PBE-GGA | relaxed

The structure in POSCAR format:
```
AgMo2Pt
1.0
-1.986 2.047 3.957
1.986 -2.047 3.957
1.986 2.047 -3.957
Ag Mo Pt
1 2 1
direct
0.000 0.000 0.000 Ag
0.255 0.755 0.500 Mo
0.486 0.486 0.000 Mo
0.748 0.248 0.500 Pt
```

Output
The density of states at the Fermi level comes out at 4.7 states/eV/f.u. The calculated density comes out at 12770 kg/m3.

***

#ii
AgMo2Pt | PBE-GGA | relaxed

The structure in POSCAR format:
```
AgMo2Pt
1.0
2.722 0.000 0.000
0.000 2.722 0.000
0.000 0.000 8.620
Ag Mo Pt
1 2 1
direct
0.000 0.000 0.000 Ag
0.500 0.500 0.259 Mo
0.500 0.500 0.741 Mo
0.000 0.000 0.500 Pt
```

Output
The density of states at the Fermi level comes out at 3.1 states/eV/f.u. The calculated density comes out at 12863 kg/m3.

***

The structure with the greatest stability is #ii.